No. 1
VASP calculation (PBE) on a geometry-optimized HfTaTi3 structure.

The raw total energy is -8.168 eV/atom. Its space group is Pm-3m. The calculation puts the magnetic moment at 0.00 μB per formula unit. For the formation energy, the calculation gives 0.930 eV/atom.

Lattice parameters (Å, degrees): 4.773 4.773 4.773 90.00 90.00 90.00
Fractional positions:
Ta  0.000  0.000  0.000
Ti  0.000  0.500  0.000
Ti  0.500  0.000  0.000
Ti  0.000  0.000  0.500
Hf  0.500  0.500  0.500

No. 2
VASP calculation (PBE) on a geometry-optimized Hf2TaTi structure.

The raw total energy is -9.265 eV/atom. Its space group is I-42d. The calculation puts the magnetic moment at 0.00 μB per formula unit. For the formation energy, the calculation gives 0.648 eV/atom.

Lattice parameters (Å, degrees): 7.543 7.543 6.066 51.55 51.55 90.00
Fractional positions:
Hf  0.875  0.869  0.750
Hf  0.619  0.125  0.250
Hf  0.375  0.381  0.750
Hf  0.131  0.625  0.250
Ti  0.250  0.750  0.500
Ti  0.500  0.500  0.000
Ta  0.750  0.250  0.500
Ta  0.000  0.000  0.000

No. 3
VASP calculation (PBE) on a geometry-optimized HfTaTi3 structure.

The raw total energy is -9.029 eV/atom. Its space group is P-1. The calculation puts the magnetic moment at 0.00 μB per formula unit. For the formation energy, the calculation gives 0.069 eV/atom.

Lattice parameters (Å, degrees): 5.320 5.480 13.967 34.96 79.54 61.54
Fractional positions:
Hf  0.186  0.277  0.743
Hf  0.502  0.484  0.316
Ta  0.831  0.100  0.048
Ta  0.857  0.660  0.011
Ti  0.694  0.367  0.629
Ti  0.994  0.394  0.430
Ti  0.257  0.386  0.910
Ti  0.431  0.375  0.149
Ti  0.139  0.933  0.378
Ti  0.550  0.828  0.681

No. 4
VASP calculation (PBE) on a geometry-optimized Hf2Ta2Ti structure.

The raw total energy is -9.998 eV/atom. Its space group is P4/mbm. The calculation puts the magnetic moment at 0.83 μB per formula unit. For the formation energy, the calculation gives 0.303 eV/atom.

Lattice parameters (Å, degrees): 7.272 7.272 3.899 90.00 90.00 90.00
Last column: magnetic moment on the atom in μB.
Fractional positions:
Ti  0.500  0.500  0.000  0.53
Ti  0.000  0.000  0.000  0.54
Ta  0.362  0.862  0.000  0.08
Ta  0.862  0.638  0.000  0.07
Ta  0.138  0.362  0.000  0.07
Ta  0.638  0.138  0.000  0.08
Hf  0.838  0.338  0.500  -0.02
Hf  0.338  0.162  0.500  -0.01
Hf  0.162  0.662  0.500  -0.02
Hf  0.662  0.838  0.500  -0.01

No. 5
VASP calculation (PBE) on a geometry-optimized HfTaTi2 structure.

The raw total energy is -9.266 eV/atom. Its space group is Cm. The calculation puts the magnetic moment at 0.00 μB per formula unit. For the formation energy, the calculation gives 0.133 eV/atom.

Lattice parameters (Å, degrees): 3.013 3.013 9.830 81.29 81.29 60.07
Fractional positions:
Hf  0.501  0.501  0.499
Ti  0.253  0.253  0.241
Ti  0.081  0.081  0.760
Ta  0.666  0.666  0.001

No. 6
VASP calculation (PBE) on a geometry-optimized Hf2TaTi structure.

The raw total energy is -9.747 eV/atom. Its space group is R-3m. The calculation puts the magnetic moment at 0.00 μB per formula unit. For the formation energy, the calculation gives 0.167 eV/atom.

Lattice parameters (Å, degrees): 3.059 3.059 10.107 81.30 81.30 60.00
Fractional positions:
Ti  0.500  0.500  0.500
Ta  0.000  0.000  0.000
Hf  0.249  0.249  0.253
Hf  0.751  0.751  0.747

No. 7
VASP calculation (PBE) on a geometry-optimized HfTaTi3 structure.

The raw total energy is -8.840 eV/atom. Its space group is Cmcm. The calculation puts the magnetic moment at 0.00 μB per formula unit. For the formation energy, the calculation gives 0.258 eV/atom.

Lattice parameters (Å, degrees): 5.358 5.598 6.960 113.72 90.00 90.00
Fractional positions:
Hf  0.750  0.584  0.167
Hf  0.250  0.416  0.833
Ti  0.250  0.816  0.631
Ti  0.750  0.081  0.684
Ti  0.250  0.919  0.316
Ti  0.250  0.398  0.316
Ti  0.750  0.184  0.369
Ti  0.750  0.602  0.684
Ta  0.000  0.000  0.000
Ta  0.500  0.000  0.000

No. 8
VASP calculation (PBE) on a geometry-optimized HfTaTi4 structure.

The raw total energy is -8.692 eV/atom. Its space group is F-43m. The calculation puts the magnetic moment at 5.20 μB per formula unit. For the formation energy, the calculation gives 0.206 eV/atom.

Lattice parameters (Å, degrees): 5.388 5.388 5.388 60.00 60.00 60.00
Last column: magnetic moment on the atom in μB.
Fractional positions:
Ti  0.624  0.624  0.128  0.81
Ti  0.624  0.624  0.624  0.81
Ti  0.624  0.128  0.624  0.81
Ti  0.128  0.624  0.624  0.81
Hf  0.000  0.000  0.000  0.47
Ta  0.250  0.250  0.250  0.10